The following is a DFT calculation (PBEsol) of a geometry-optimized PrZnAgAs2 structure.

The structure in CIF format:
```
data_PrZnAgAs2
_chemical_formula_sum 'Pr1 Zn1 Ag1 As2'
_cell_length_a 4.2612
_cell_length_b 4.2612
_cell_length_c 6.8647
_cell_angle_alpha 90.00
_cell_angle_beta 90.00
_cell_angle_gamma 120.00
_space_group_name_H-M_alt 'P 3 m 1'
_space_group_IT_number 156
loop_
_space_group_symop_operation_xyz
'x,y,z'
'-y,x-y,z'
'-x+y,-x,z'
'-y,-x,z'
'-x+y,y,z'
'x,x-y,z'
loop_
_atom_site_label
_atom_site_type_symbol
_atom_site_fract_x
_atom_site_fract_y
_atom_site_fract_z
Pr1 Pr 0.0000 0.0000 0.0000
Zn1 Zn 0.3333 0.6667 0.6138
Ag1 Ag 0.6667 0.3333 0.3479
As1 As 0.3333 0.6667 0.2377
As2 As 0.6667 0.3333 0.7366
```

Results
**Mass density**: 7138 kg/m³
**Energy relative to the elements**: -0.63 eV per atom
**Volume**: 107.9 Å³/f.u.
**Size of the total moment**: 0.000 Bohr magnetons per cell